Below is a relaxed Li7Ni5O12 crystal, with properties calculated at the GGA+U level.

```
data_Li7Ni5O12
_cell_length_a 4.964
_cell_length_b 4.964
_cell_length_c 9.636
_cell_angle_alpha 85.07
_cell_angle_beta 85.07
_cell_angle_gamma 120.34
_symmetry_space_group_name_H-M 'P 1'
_symmetry_Int_Tables_number 1
loop_
_symmetry_equiv_pos_as_xyz
'x,y,z'
loop_
_atom_site_label
_atom_site_type_symbol
_atom_site_fract_x
_atom_site_fract_y
_atom_site_fract_z
_atom_site_occupancy
O1 O 0.289 0.426 0.891 1
O2 O 0.429 0.289 0.391 1
O3 O 0.070 0.232 0.616 1
O4 O 0.768 0.930 0.384 1
O5 O 0.711 0.571 0.609 1
O6 O 0.213 0.072 0.110 1
O7 O 0.371 0.856 0.616 1
O8 O 0.853 0.352 0.111 1
O9 O 0.574 0.711 0.109 1
O10 O 0.928 0.787 0.890 1
O11 O 0.648 0.147 0.889 1
O12 O 0.144 0.629 0.384 1
Ni1 Ni 0.080 0.920 0.500 1
Ni2 Ni 0.414 0.586 0.500 1
Ni3 Ni 0.750 0.250 0.500 1
Ni4 Ni 0.918 0.082 0.000 1
Ni5 Ni 0.584 0.416 0.000 1
Li1 Li 0.012 0.502 0.754 1
Li2 Li 0.840 0.671 0.247 1
Li3 Li 0.329 0.160 0.753 1
Li4 Li 0.251 0.749 0.000 1
Li5 Li 0.498 0.988 0.246 1
Li6 Li 0.659 0.831 0.753 1
Li7 Li 0.169 0.341 0.247 1
```

Values from the calculation:
E above lowest polymorph: 0.000 eV per atom
V: 201.9 Å³ per cell
Total energy: -4.8694 eV/atom
Spin magnetization: 0.1250 μB/atom